1:
A relaxed structure of Pr2Nd5Tm, computed with GGA-PBE.

Lattice parameters (Å, degrees): 7.3215 14.6867 5.1722 90.00 90.00 90.00
Space group Pbam (No. 55)
Inequivalent atoms, fractional coordinates:
Pr: 0.2486 0.1238 0.0000
Nd: 0.0000 0.5000 0.5000
Nd: 0.0009 0.7516 0.5000
Nd: 0.2502 0.3760 0.0000
Tm: 0.0000 0.0000 0.5000

Computed properties:
- Theoretical density: 7.00 Mg/m³

---

2:
A relaxed structure of Pr2Nd5Tm, computed with GGA-PBE.

Lattice parameters (Å, degrees): 12.1245 10.2858 9.0290 90.00 92.02 90.00
Space group P2_1/c (No. 14)
Inequivalent atoms, fractional coordinates:
Pr: 0.1471 0.0003 0.0955
Pr: 0.2913 0.0004 0.7862
Nd: 0.0011 0.2490 0.7506
Nd: 0.2343 0.1737 0.4526
Nd: 0.2337 0.6744 0.9522
Nd: 0.4164 0.6616 0.6474
Nd: 0.4167 0.1609 0.1473
Tm: 0.0000 0.0000 0.5000
Tm: 0.5000 0.0000 0.5000

Computed properties:
- Theoretical density: 6.92 Mg/m³

---

1 is the most stable structure; the next one sits 12.5 kJ/mol of atoms above it.

---

1:
A relaxed structure of Pr2Nd6Tm, computed with GGA-PBE.

Lattice parameters (Å, degrees): 16.7967 11.9338 6.2708 90.00 96.64 90.00
Space group C2/c (No. 15)
Inequivalent atoms, fractional coordinates:
Pr: 0.1691 0.1031 0.0743
Nd: 0.0488 0.1400 0.5130
Nd: 0.1125 0.3603 0.8210
Nd: 0.2093 0.3654 0.3545
Tm: 0.0000 0.3991 0.2500

Computed properties:
- Theoretical density: 7.00 Mg/m³

---

2:
A relaxed structure of Pr2Nd6Tm, computed with GGA-PBE.

Lattice parameters (Å, degrees): 10.0100 17.4077 3.5787 90.00 90.00 90.00
Space group Cmmm (No. 65)
Inequivalent atoms, fractional coordinates:
Pr: 0.0000 0.1669 0.0000
Nd: 0.1659 0.3352 0.5000
Nd: 0.1702 0.0000 0.5000
Tm: 0.0000 0.5000 0.0000

Computed properties:
- Theoretical density: 7.01 Mg/m³

---

2 is the most stable structure; the next one sits 2.5 kJ/mol of atoms above it.

---

1:
A relaxed structure of Pr8Nd3Tm2, computed with GGA-PBE.

Lattice parameters (Å, degrees): 13.3273 11.9778 6.2676 90.00 113.03 90.00
Space group C2/m (No. 12)
Inequivalent atoms, fractional coordinates:
Pr: 0.0570 0.0000 0.2908
Pr: 0.1528 0.5000 0.5491
Pr: 0.1737 0.2446 0.1723
Nd: 0.0000 0.2549 0.5000
Nd: 0.0000 0.5000 0.0000
Tm: 0.2111 0.0000 0.8600

Computed properties:
- Theoretical density: 6.85 Mg/m³

---

2:
A relaxed structure of Pr8Nd3Tm2, computed with GGA-PBE.

Lattice parameters (Å, degrees): 20.5692 7.8035 5.8732 90.00 90.03 90.00
Space group C2/m (No. 12)
Inequivalent atoms, fractional coordinates:
Pr: 0.1083 0.2077 0.0000
Pr: 0.1348 0.5000 0.4992
Pr: 0.1756 0.0000 0.5009
Nd: 0.0000 0.2128 0.5000
Nd: 0.0000 0.5000 0.0000
Tm: 0.2409 0.5000 0.9987

Computed properties:
- Theoretical density: 6.69 Mg/m³

---

1 is the most stable structure; the next one sits 5.5 kJ/mol of atoms above it.

---

1:
A relaxed structure of Pr3Nd2Tm3, computed with GGA-PBE.

Lattice parameters (Å, degrees): 6.0094 6.0326 14.8598 90.00 90.00 90.00
Space group Immm (No. 71)
Inequivalent atoms, fractional coordinates:
Pr: 0.0000 0.0000 0.0000
Pr: 0.0000 0.5000 0.1279
Nd: 0.0000 0.0000 0.2557
Tm: 0.0000 0.0000 0.5000
Tm: 0.0000 0.5000 0.3779

Computed properties:
- Theoretical density: 7.51 Mg/m³

---

2:
A relaxed structure of Pr3Nd2Tm3, computed with GGA-PBE.

Lattice parameters (Å, degrees): 5.0903 5.1444 20.5003 90.00 90.00 90.00
Space group Immm (No. 71)
Inequivalent atoms, fractional coordinates:
Pr: 0.0000 0.0000 0.0000
Pr: 0.0000 0.5000 0.1228
Nd: 0.0000 0.0000 0.2494
Tm: 0.0000 0.0000 0.5000
Tm: 0.0000 0.5000 0.3757

Computed properties:
- Theoretical density: 7.54 Mg/m³

---

2 is the most stable structure; the next one sits 9.3 kJ/mol of atoms above it.

---

1:
A relaxed structure of Pr6Nd12Tm, computed with GGA-PBE.

Lattice parameters (Å, degrees): 16.6564 16.6564 8.6116 90.00 90.00 120.00
Space group R-3m (No. 166, hexagonal axes)
Inequivalent atoms, fractional coordinates:
Pr: 0.0844 0.1689 0.1470
Nd: 0.0000 0.3788 0.0000
Nd: 0.0942 0.5471 0.3139
Tm: 0.0000 0.0000 0.5000

Computed properties:
- Theoretical density: 6.61 Mg/m³

---

2:
A relaxed structure of Pr6Nd12Tm, computed with GGA-PBE.

Lattice parameters (Å, degrees): 12.3698 12.3698 15.3984 90.00 90.00 120.00
Space group R-3 (No. 148, hexagonal axes)
Inequivalent atoms, fractional coordinates:
Pr: 0.0137 0.4228 0.1855
Nd: 0.0016 0.8302 0.6895
Nd: 0.0488 0.8523 0.9165
Tm: 0.0000 0.0000 0.5000

Computed properties:
- Theoretical density: 6.70 Mg/m³

---

2 is the most stable structure; the next one sits 16.1 kJ/mol of atoms above it.

---

1:
A relaxed structure of PrNd7Tm12, computed with GGA-PBE.

Lattice parameters (Å, degrees): 11.2298 11.2298 11.2298 90.00 90.00 90.00
Space group Im-3m (No. 229)
Inequivalent atoms, fractional coordinates:
Pr: 0.0000 0.0000 0.0000
Nd: 0.0000 0.0000 0.5000
Nd: 0.2500 0.2500 0.2500
Tm: 0.0000 0.2508 0.2508

Computed properties:
- Theoretical density: 7.45 Mg/m³

---

2:
A relaxed structure of PrNd7Tm12, computed with GGA-PBE.

Lattice parameters (Å, degrees): 11.9540 11.9540 16.1901 90.00 90.00 120.00
Space group R-3 (No. 148, hexagonal axes)
Inequivalent atoms, fractional coordinates:
Pr: 0.0000 0.0000 0.0000
Nd: 0.0000 0.0000 0.5000
Nd: 0.0502 0.1888 0.7910
Tm: 0.0174 0.4449 0.7197
Tm: 0.0493 0.5872 0.0838

Computed properties:
- Theoretical density: 7.90 Mg/m³

---

2 is the most stable structure; the next one sits 40.1 kJ/mol of atoms above it.